[1]
A plane-wave DFT calculation with GGA-PBE was carried out for a relaxed structure of BaLa2Ru.

Values from the calculation:
Total magnetic moment in μB per cell: 0.000
Density of states at the Fermi level in states/eV per cell: 4.20
Formation energy in eV/atom: -0.060
Uncorrected energy in eV for the cell shown: -21.29
Energy above the lowest structure with this stoichiometry in eV per atom: 0.126

a b c (Å): 3.7170 3.7170 10.6238
angles (deg): 90.00 90.00 104.10
Last column: nearest neighbours and their distance in Å.
Sites, in units of the cell vectors:
Ba 0.5000 0.5000 0.7500  4 Ba 3.72
La 0.0000 0.0000 0.0905  2 Ru 2.85
La 0.0000 0.0000 0.4095  2 Ru 2.85
Ru 0.5000 0.5000 0.2500  4 La 2.85

=====

[2]
A plane-wave DFT calculation with GGA-PBE was carried out for a relaxed structure of LiY2.

Values from the calculation:
Total magnetic moment in μB per cell: 0.004
Density of states at the Fermi level in states/eV per cell: 4.60
Formation energy in eV/atom: 0.076
Uncorrected energy in eV for the cell shown: -14.61
Energy above the lowest structure with this stoichiometry in eV per atom: 0.000

a b c (Å): 6.8071 6.8071 6.8071
angles (deg): 148.80 148.80 44.70
Last column: nearest neighbours and their distance in Å.
Sites, in units of the cell vectors:
Y 0.1532 0.1532 0.0000  4 Li 3.23, 4 Y 3.56
Y 0.8468 0.8468 0.0000  4 Li 3.23, 4 Y 3.56
Li 0.5000 0.5000 0.0000  8 Y 3.23